Entry 1:
Here is a relaxed LiCr3N crystal from Alexandria via LeMat-Bulk. Energies are from GGA-PBEsol.

## Properties
DOS(E_F) = 5.42 states/eV/cell
final energy = -29.514 eV per cell
magnetization = 8.0 μB per cell

a = 3.976 Å, b = 3.976 Å, c = 3.976 Å
α = 90.00°, β = 90.00°, γ = 90.00°
Fractional coordinates of all 5 atoms:
Li1 0.000 0.000 0.000
Cr1 0.000 0.000 0.500
Cr2 0.000 0.500 0.000
Cr3 0.500 0.000 0.000
N1 0.500 0.500 0.500

***

Entry 2:
Here is a relaxed LiSeCl2 crystal from Alexandria via LeMat-Bulk. Energies are from GGA-PBEsol.

## Properties
excess energy over the best structure of this formula in the dataset = 526.8 meV/atom
DOS(E_F) = 4.02 states/eV/cell
final energy = -10.030 eV per cell
magnetization = 2.5 μB per cell

a = 4.892 Å, b = 4.892 Å, c = 4.892 Å
α = 60.00°, β = 60.00°, γ = 60.00°
Fractional coordinates of all 4 atoms:
Li1 0.000 0.000 0.000
Se1 0.250 0.250 0.250
Cl1 0.500 0.500 0.500
Cl2 0.750 0.750 0.750

***

Look up the DOS(E_F) of the first one. 5.42 states/eV/cell

***

What is the magnetization in the second record? 2.5 μB per cell

***

Which of these has the highest DOS(E_F)? LiCr3N